Entry 1:
An optimized crystal structure of BeTc2Ni. Source: Alexandria via LeMat-Bulk, functional PBE.

Summary:
Formation enthalpy at 0 K: 0.13 eV/f.u.
Total magnetic moment: 0.0 μB per cell
Total DFT energy (no corrections): -0.5532 Ry/atom

Lattice parameters (Å, degrees): 2.6722 3.6878 5.0817 90.00 90.00 90.00
Space group Pmm2 (No. 25)
Unique sites:
Be 0.0000 0.0000 0.0000 (multiplicity 1)
Tc 0.0000 0.0000 0.4925 (multiplicity 1)
Tc 0.5000 0.5000 0.7399 (multiplicity 1)
Ni 0.5000 0.5000 0.2102 (multiplicity 1)


Entry 2:
An optimized crystal structure of BeTcNi2. Source: Alexandria via LeMat-Bulk, functional PBE.

Summary:
Formation enthalpy at 0 K: -0.20 eV/f.u.
Total magnetic moment: 0.0 μB per cell
Total DFT energy (no corrections): -0.4751 Ry/atom

Lattice parameters (Å, degrees): 2.5172 4.0014 4.5114 90.00 90.09 90.00
Space group Pm (No. 6)
Unique sites:
Be 0.0000 0.0000 0.0000 (multiplicity 1)
Tc 0.9966 0.5000 0.3735 (multiplicity 1)
Ni 0.4972 0.0000 0.5563 (multiplicity 1)
Ni 0.4975 0.5000 0.8896 (multiplicity 1)


Entry 3:
An optimized crystal structure of BeTc2Ni. Source: Alexandria via LeMat-Bulk, functional PBE.

Summary:
Formation enthalpy at 0 K: -0.22 eV/f.u.
Total magnetic moment: 0.0 μB per cell
Total DFT energy (no corrections): -0.5597 Ry/atom

Lattice parameters (Å, degrees): 2.6779 3.8818 4.8645 90.00 105.83 90.00
Space group Pm (No. 6)
Unique sites:
Be 0.0000 0.0000 0.0000 (multiplicity 1)
Tc 0.3839 0.5000 0.7672 (multiplicity 1)
Tc 0.7370 0.0000 0.4810 (multiplicity 1)
Ni 0.1118 0.5000 0.2284 (multiplicity 1)


Entry 4:
An optimized crystal structure of Be2TcNi. Source: Alexandria via LeMat-Bulk, functional PBE.

Summary:
Formation enthalpy at 0 K: -0.44 eV/f.u.
Total magnetic moment: 0.0 μB per cell
Total DFT energy (no corrections): -0.4417 Ry/atom

Lattice parameters (Å, degrees): 2.5801 3.9384 8.1987 90.00 90.00 90.00
Space group Imm2 (No. 44)
Unique sites:
Be 0.0000 0.0000 0.0000 (multiplicity 2)
Be 0.0000 0.5000 0.2707 (multiplicity 2)
Tc 0.0000 0.0000 0.5042 (multiplicity 2)
Ni 0.0000 0.5000 0.7324 (multiplicity 2)


Entry 5:
An optimized crystal structure of BeTcNi2. Source: Alexandria via LeMat-Bulk, functional PBE.

Summary:
Formation enthalpy at 0 K: -0.94 eV/f.u.
Total magnetic moment: 0.0 μB per cell
Total DFT energy (no corrections): -0.4887 Ry/atom

Lattice parameters (Å, degrees): 2.5729 2.5729 6.5108 90.00 90.00 90.00
Space group P4/mmm (No. 123)
Unique sites:
Be 0.0000 0.0000 0.0000 (multiplicity 1)
Tc 0.0000 0.0000 0.5000 (multiplicity 1)
Ni 0.5000 0.5000 0.2068 (multiplicity 2)


Entry 6:
An optimized crystal structure of BeTcNi3. Source: Alexandria via LeMat-Bulk, functional PBE.

Summary:
Formation enthalpy at 0 K: 2.34 eV/f.u.
Total magnetic moment: 3.7 μB per cell
Total DFT energy (no corrections): -0.4277 Ry/atom

Lattice parameters (Å, degrees): 3.8906 3.8906 3.8906 90.00 90.00 90.00
Space group Pm-3m (No. 221)
Unique sites:
Be 0.0000 0.0000 0.0000 (multiplicity 1)
Tc 0.5000 0.5000 0.5000 (multiplicity 1)
Ni 0.0000 0.0000 0.5000 (multiplicity 3)


Entry 7:
An optimized crystal structure of BeTcNi. Source: Alexandria via LeMat-Bulk, functional PBE.

Summary:
Formation enthalpy at 0 K: 2.15 eV/f.u.
Total magnetic moment: 4.0 μB per cell
Total DFT energy (no corrections): -0.4342 Ry/atom

Lattice parameters (Å, degrees): 5.4932 5.4932 5.4932 90.00 90.00 90.00
Space group F-43m (No. 216)
Unique sites:
Be 0.0000 0.0000 0.0000 (multiplicity 4)
Tc 0.2500 0.2500 0.7500 (multiplicity 4)
Ni 0.0000 0.0000 0.5000 (multiplicity 4)


Entry 8:
An optimized crystal structure of BeTc2Ni. Source: Alexandria via LeMat-Bulk, functional PBE.

Summary:
Formation enthalpy at 0 K: 0.66 eV/f.u.
Total magnetic moment: 0.0 μB per cell
Total DFT energy (no corrections): -0.5436 Ry/atom

Lattice parameters (Å, degrees): 2.6521 2.6521 24.7244 90.00 90.00 120.00
Space group R-3m (No. 166, hexagonal axes)
Unique sites:
Be 0.0000 0.0000 0.0000 (multiplicity 3)
Tc 0.0000 0.0000 0.2520 (multiplicity 6)
Ni 0.0000 0.0000 0.5000 (multiplicity 3)


Entry 9:
An optimized crystal structure of Be2TcNi. Source: Alexandria via LeMat-Bulk, functional PBE.

Summary:
Formation enthalpy at 0 K: -0.60 eV/f.u.
Total magnetic moment: 0.0 μB per cell
Total DFT energy (no corrections): -0.4447 Ry/atom

Lattice parameters (Å, degrees): 2.6433 2.6433 5.8504 90.00 90.00 90.00
Space group P4mm (No. 99)
Unique sites:
Be 0.0000 0.0000 0.0000 (multiplicity 1)
Be 0.5000 0.5000 0.1965 (multiplicity 1)
Tc 0.5000 0.5000 0.7236 (multiplicity 1)
Ni 0.0000 0.0000 0.4086 (multiplicity 1)


Entry 10:
An optimized crystal structure of Be9TcNi2. Source: Alexandria via LeMat-Bulk, functional PBE.

Summary:
Formation enthalpy at 0 K: -3.17 eV/f.u.
Total magnetic moment: 0.0 μB per cell
Total DFT energy (no corrections): -0.3591 Ry/atom

Lattice parameters (Å, degrees): 4.2109 4.2109 20.1291 90.00 90.00 120.00
Space group R-3m (No. 166, hexagonal axes)
Unique sites:
Be 0.0000 0.0000 0.0000 (multiplicity 3)
Be 0.0000 0.0000 0.1666 (multiplicity 6)
Be 0.0043 0.5021 0.4147 (multiplicity 18)
Tc 0.0000 0.0000 0.5000 (multiplicity 3)
Ni 0.0000 0.0000 0.3556 (multiplicity 6)


Entry 11:
An optimized crystal structure of BeTc2Ni. Source: Alexandria via LeMat-Bulk, functional PBE.

Summary:
Formation enthalpy at 0 K: 0.11 eV/f.u.
Total magnetic moment: 0.0 μB per cell
Total DFT energy (no corrections): -0.5537 Ry/atom

Lattice parameters (Å, degrees): 2.6749 3.7667 4.9016 90.00 90.02 90.00
Space group P2/m (No. 10)
Unique sites:
Be 0.0000 0.0000 0.0000 (multiplicity 1)
Tc 0.4973 0.5000 0.2396 (multiplicity 2)
Ni 0.0000 0.0000 0.5000 (multiplicity 1)


Entry 12:
An optimized crystal structure of BeTcNi2. Source: Alexandria via LeMat-Bulk, functional PBE.

Summary:
Formation enthalpy at 0 K: 0.00 eV/f.u.
Total magnetic moment: 0.0 μB per cell
Total DFT energy (no corrections): -0.4714 Ry/atom

Lattice parameters (Å, degrees): 2.5829 2.5829 23.4797 90.00 90.00 120.00
Space group R-3m (No. 166, hexagonal axes)
Unique sites:
Be 0.0000 0.0000 0.0000 (multiplicity 3)
Tc 0.0000 0.0000 0.5000 (multiplicity 3)
Ni 0.0000 0.0000 0.2585 (multiplicity 6)


Entry 13:
An optimized crystal structure of Be2TcNi. Source: Alexandria via LeMat-Bulk, functional PBE.

Summary:
Formation enthalpy at 0 K: -0.55 eV/f.u.
Total magnetic moment: 0.0 μB per cell
Total DFT energy (no corrections): -0.4438 Ry/atom

Lattice parameters (Å, degrees): 5.4600 5.4600 5.4600 90.00 90.00 90.00
Space group Fm-3m (No. 225)
Unique sites:
Be 0.2500 0.2500 0.2500 (multiplicity 8)
Tc 0.0000 0.0000 0.0000 (multiplicity 4)
Ni 0.0000 0.0000 0.5000 (multiplicity 4)


Entry 14:
An optimized crystal structure of Be3TcNi. Source: Alexandria via LeMat-Bulk, functional PBE.

Summary:
Formation enthalpy at 0 K: 2.31 eV/f.u.
Total magnetic moment: 0.9 μB per cell
Total DFT energy (no corrections): -0.3677 Ry/atom

Lattice parameters (Å, degrees): 3.8102 3.8102 3.8102 90.00 90.00 90.00
Space group Pm-3m (No. 221)
Unique sites:
Be 0.0000 0.0000 0.5000 (multiplicity 3)
Tc 0.5000 0.5000 0.5000 (multiplicity 1)
Ni 0.0000 0.0000 0.0000 (multiplicity 1)


Entry 15:
An optimized crystal structure of BeTcNi. Source: Alexandria via LeMat-Bulk, functional PBE.

Summary:
Formation enthalpy at 0 K: -0.47 eV/f.u.
Total magnetic moment: 0.0 μB per cell
Total DFT energy (no corrections): -0.4984 Ry/atom

Lattice parameters (Å, degrees): 2.6391 2.6391 9.4530 90.00 90.00 90.00
Space group I4mm (No. 107)
Unique sites:
Be 0.0000 0.0000 0.0000 (multiplicity 2)
Tc 0.0000 0.0000 0.6753 (multiplicity 2)
Ni 0.0000 0.0000 0.3686 (multiplicity 2)


Entry 16:
An optimized crystal structure of BeTc2Ni. Source: Alexandria via LeMat-Bulk, functional PBE.

Summary:
Formation enthalpy at 0 K: 1.91 eV/f.u.
Total magnetic moment: 0.0 μB per cell
Total DFT energy (no corrections): -0.5206 Ry/atom

Lattice parameters (Å, degrees): 3.5042 3.5042 17.6125 90.00 90.00 90.00
Space group I-42d (No. 122)
Unique sites:
Be 0.0000 0.0000 0.0000 (multiplicity 4)
Tc 0.2342 0.2500 0.1250 (multiplicity 8)
Ni 0.0000 0.0000 0.5000 (multiplicity 4)


Entry 17:
An optimized crystal structure of BeTcNi. Source: Alexandria via LeMat-Bulk, functional PBE.

Summary:
Formation enthalpy at 0 K: 0.17 eV/f.u.
Total magnetic moment: 0.0 μB per cell
Total DFT energy (no corrections): -0.4828 Ry/atom

Lattice parameters (Å, degrees): 2.6085 2.6085 5.9413 90.00 90.00 120.00
Space group P3m1 (No. 156)
Unique sites:
Be 0.0000 0.0000 0.0000 (multiplicity 1)
Tc 0.6667 0.3333 0.6562 (multiplicity 1)
Ni 0.3333 0.6667 0.2976 (multiplicity 1)


Entry 18:
An optimized crystal structure of BeTcNi2. Source: Alexandria via LeMat-Bulk, functional PBE.

Summary:
Formation enthalpy at 0 K: -0.16 eV/f.u.
Total magnetic moment: 0.0 μB per cell
Total DFT energy (no corrections): -0.4743 Ry/atom

Lattice parameters (Å, degrees): 8.6132 2.5841 4.2482 90.00 108.67 90.00
Space group Cm (No. 8)
Unique sites:
Be 0.0000 0.0000 0.0000 (multiplicity 2)
Tc 0.2487 0.5000 0.2329 (multiplicity 2)
Ni 0.0195 0.5000 0.5200 (multiplicity 2)
Ni 0.2867 0.0000 0.7590 (multiplicity 2)


Entry 19:
An optimized crystal structure of BeTcNi2. Source: Alexandria via LeMat-Bulk, functional PBE.

Summary:
Formation enthalpy at 0 K: -0.31 eV/f.u.
Total magnetic moment: 0.0 μB per cell
Total DFT energy (no corrections): -0.4771 Ry/atom

Lattice parameters (Å, degrees): 2.5278 3.6680 4.8566 90.00 90.00 90.00
Space group Pmmm (No. 47)
Unique sites:
Be 0.0000 0.0000 0.0000 (multiplicity 1)
Tc 0.0000 0.0000 0.5000 (multiplicity 1)
Ni 0.5000 0.5000 0.2405 (multiplicity 2)


Entry 20:
An optimized crystal structure of Be2TcNi. Source: Alexandria via LeMat-Bulk, functional PBE.

Summary:
Formation enthalpy at 0 K: -0.99 eV/f.u.
Total magnetic moment: 0.0 μB per cell
Total DFT energy (no corrections): -0.4519 Ry/atom

Lattice parameters (Å, degrees): 2.5513 2.8077 5.6623 90.00 90.00 90.00
Space group Pmmm (No. 47)
Unique sites:
Be 0.0000 0.0000 0.2143 (multiplicity 2)
Tc 0.5000 0.5000 0.5000 (multiplicity 1)
Ni 0.5000 0.5000 0.0000 (multiplicity 1)


Entry 21:
An optimized crystal structure of Be2TcNi. Source: Alexandria via LeMat-Bulk, functional PBE.

Summary:
Formation enthalpy at 0 K: -0.34 eV/f.u.
Total magnetic moment: 0.0 μB per cell
Total DFT energy (no corrections): -0.4400 Ry/atom

Lattice parameters (Å, degrees): 5.0987 7.2983 2.4481 90.00 109.61 90.00
Space group C2/m (No. 12)
Unique sites:
Be 0.2500 0.2500 0.0000 (multiplicity 4)
Tc 0.0000 0.0000 0.5000 (multiplicity 2)
Ni 0.0000 0.5000 0.5000 (multiplicity 2)


Entry 22:
An optimized crystal structure of BeTcNi2. Source: Alexandria via LeMat-Bulk, functional PBE.

Summary:
Formation enthalpy at 0 K: 0.11 eV/f.u.
Total magnetic moment: 0.4 μB per cell
Total DFT energy (no corrections): -0.4693 Ry/atom

Lattice parameters (Å, degrees): 3.4052 3.4052 3.8590 90.00 90.00 90.00
Space group P4/mmm (No. 123)
Unique sites:
Be 0.0000 0.0000 0.0000 (multiplicity 1)
Tc 0.5000 0.5000 0.0000 (multiplicity 1)
Ni 0.0000 0.5000 0.5000 (multiplicity 2)


Entry 23:
An optimized crystal structure of Be2TcNi. Source: Alexandria via LeMat-Bulk, functional PBE.

Summary:
Formation enthalpy at 0 K: 0.02 eV/f.u.
Total magnetic moment: 0.0 μB per cell
Total DFT energy (no corrections): -0.4332 Ry/atom

Lattice parameters (Å, degrees): 2.6148 4.3099 7.6829 90.00 90.00 90.00
Space group Immm (No. 71)
Unique sites:
Be 0.0000 0.0000 0.2323 (multiplicity 4)
Tc 0.0000 0.5000 0.0000 (multiplicity 2)
Ni 0.0000 0.5000 0.5000 (multiplicity 2)


Entry 24:
An optimized crystal structure of BeTc2Ni. Source: Alexandria via LeMat-Bulk, functional PBE.

Summary:
Formation enthalpy at 0 K: 0.37 eV/f.u.
Total magnetic moment: 0.0 μB per cell
Total DFT energy (no corrections): -0.5488 Ry/atom

Lattice parameters (Å, degrees): 8.6021 2.6471 4.4937 90.00 100.20 90.00
Space group C2/m (No. 12)
Unique sites:
Be 0.0000 0.0000 0.0000 (multiplicity 2)
Tc 0.2492 0.0000 0.7524 (multiplicity 4)
Ni 0.0000 0.5000 0.5000 (multiplicity 2)


Entry 25:
An optimized crystal structure of BeTcNi2. Source: Alexandria via LeMat-Bulk, functional PBE.

Summary:
Formation enthalpy at 0 K: -0.01 eV/f.u.
Total magnetic moment: 1.3 μB per cell
Total DFT energy (no corrections): -0.4716 Ry/atom

Lattice parameters (Å, degrees): 3.9812 3.9812 5.6128 90.00 90.00 90.00
Space group I-4m2 (No. 119)
Unique sites:
Be 0.0000 0.0000 0.0000 (multiplicity 2)
Tc 0.0000 0.5000 0.2500 (multiplicity 2)
Ni 0.0000 0.0000 0.5000 (multiplicity 2)
Ni 0.0000 0.5000 0.7500 (multiplicity 2)


Entry 26:
An optimized crystal structure of BeTcNi2. Source: Alexandria via LeMat-Bulk, functional PBE.

Summary:
Formation enthalpy at 0 K: 0.16 eV/f.u.
Total magnetic moment: 0.0 μB per cell
Total DFT energy (no corrections): -0.4685 Ry/atom

Lattice parameters (Å, degrees): 2.6634 4.0625 4.1603 90.00 90.00 90.00
Space group Pmmm (No. 47)
Unique sites:
Be 0.0000 0.0000 0.0000 (multiplicity 1)
Tc 0.5000 0.5000 0.0000 (multiplicity 1)
Ni 0.0000 0.5000 0.5000 (multiplicity 1)
Ni 0.5000 0.0000 0.5000 (multiplicity 1)


Entry 27:
An optimized crystal structure of BeTcNi2. Source: Alexandria via LeMat-Bulk, functional PBE.

Summary:
Formation enthalpy at 0 K: -0.08 eV/f.u.
Total magnetic moment: 0.0 μB per cell
Total DFT energy (no corrections): -0.4729 Ry/atom

Lattice parameters (Å, degrees): 4.9527 7.2435 2.5407 90.00 90.00 90.00
Space group Cmmm (No. 65)
Unique sites:
Be 0.0000 0.0000 0.0000 (multiplicity 2)
Tc 0.0000 0.5000 0.0000 (multiplicity 2)
Ni 0.2500 0.2500 0.5000 (multiplicity 4)


Entry 28:
An optimized crystal structure of BeTcNi2. Source: Alexandria via LeMat-Bulk, functional PBE.

Summary:
Formation enthalpy at 0 K: -0.28 eV/f.u.
Total magnetic moment: 0.0 μB per cell
Total DFT energy (no corrections): -0.4766 Ry/atom

Lattice parameters (Å, degrees): 2.7228 3.9979 8.0211 90.00 90.00 90.00
Space group Immm (No. 71)
Unique sites:
Be 0.0000 0.0000 0.0000 (multiplicity 2)
Tc 0.0000 0.0000 0.5000 (multiplicity 2)
Ni 0.0000 0.5000 0.2735 (multiplicity 4)


Entry 29:
An optimized crystal structure of BeTc2Ni. Source: Alexandria via LeMat-Bulk, functional PBE.

Summary:
Formation enthalpy at 0 K: 0.25 eV/f.u.
Total magnetic moment: 0.0 μB per cell
Total DFT energy (no corrections): -0.5510 Ry/atom

Lattice parameters (Å, degrees): 4.8932 7.7638 2.6094 90.00 90.00 90.00
Space group Cmmm (No. 65)
Unique sites:
Be 0.0000 0.0000 0.0000 (multiplicity 2)
Tc 0.2500 0.2500 0.5000 (multiplicity 4)
Ni 0.0000 0.5000 0.0000 (multiplicity 2)


Entry 30:
An optimized crystal structure of BeVTcNi. Source: Alexandria via LeMat-Bulk, functional PBE.

Summary:
Formation enthalpy at 0 K: -0.82 eV/f.u.
Total magnetic moment: 0.0 μB per cell
Total DFT energy (no corrections): -0.5478 Ry/atom

Lattice parameters (Å, degrees): 5.7398 5.7398 5.7398 90.00 90.00 90.00
Space group F-43m (No. 216)
Unique sites:
Be 0.0000 0.0000 0.0000 (multiplicity 4)
V 0.0000 0.0000 0.5000 (multiplicity 4)
Tc 0.2500 0.2500 0.7500 (multiplicity 4)
Ni 0.2500 0.2500 0.2500 (multiplicity 4)